Compound: V3CuF
Source: Alexandria
Functional: PBE with a Hubbard U
Structure: optimized geometry

Properties
**ΔE to the lowest computed polymorph**: 681 meV per atom

Structure (POSCAR):
```
V3CuF
1.0
4.895 0.000 0.000
0.000 4.895 0.000
0.000 0.000 4.895
V Cu F
3 1 1
Direct
0.000 0.000 0.500 V
0.000 0.500 0.000 V
0.500 0.000 0.000 V
0.000 0.000 0.000 Cu
0.500 0.500 0.500 F
```